NbGaSb2I: relaxed, GGA-PBE.

Formation energy from raw total energies: 1.5 eV/f.u.
Total energy: -4.272 eV/atom
ρ: 5221 kg/m³
Energy relative to the lowest polymorph listed for this composition: 0.000 kcal/mol of atoms

Lattice parameters (Å, degrees): 5.334 5.334 5.959 90.00 90.00 90.00
Fractional positions:
Nb: 0.000 0.000 0.000
Ga: 0.500 0.500 0.500
Sb: 0.000 0.500 0.000
Sb: 0.500 0.000 0.000
I: 0.000 0.000 0.500

***

NbGa2SnI: relaxed, GGA-PBE.

Formation energy from raw total energies: 4.0 eV/f.u.
Total energy: -3.526 eV/atom
ρ: 4899 kg/m³

Lattice parameters (Å, degrees): 5.360 5.360 5.640 90.00 90.00 90.00
Fractional positions:
Nb: 0.000 0.000 0.000
Ga: 0.000 0.500 0.500
Ga: 0.500 0.000 0.500
Sn: 0.000 0.000 0.500
I: 0.500 0.500 0.000

***

NbGaTe2I: relaxed, GGA-PBE.

Formation energy from raw total energies: 3.9 eV/f.u.
Total energy: -3.401 eV/atom
ρ: 5857 kg/m³
Energy relative to the lowest polymorph listed for this composition: 16.605 kcal/mol of atoms

Lattice parameters (Å, degrees): 5.345 5.345 5.405 90.00 90.00 90.00
Fractional positions:
Nb: 0.000 0.000 0.000
Ga: 0.500 0.500 0.500
Te: 0.000 0.500 0.500
Te: 0.500 0.000 0.500
I: 0.500 0.500 0.000

***

NbGaTe2I: relaxed, GGA-PBE.

Formation energy from raw total energies: 0.3 eV/f.u.
Total energy: -4.121 eV/atom
ρ: 5210 kg/m³
Energy relative to the lowest polymorph listed for this composition: 0.000 kcal/mol of atoms

Lattice parameters (Å, degrees): 5.426 5.426 5.898 90.00 90.00 90.00
Fractional positions:
Nb: 0.000 0.000 0.000
Ga: 0.500 0.500 0.500
Te: 0.000 0.500 0.000
Te: 0.500 0.000 0.000
I: 0.000 0.000 0.500

***

Nb2ZnGaI: relaxed, GGA-PBE.

Formation energy from raw total energies: 7.2 eV/f.u.
Total energy: -3.749 eV/atom
ρ: 5959 kg/m³

Lattice parameters (Å, degrees): 4.920 4.920 5.155 90.00 90.00 90.00
Fractional positions:
Nb: 0.000 0.500 0.000
Nb: 0.500 0.000 0.000
Zn: 0.000 0.000 0.000
Ga: 0.500 0.500 0.500
I: 0.000 0.000 0.500

***

Nd4GaI5: relaxed, GGA-PBE.

Formation energy from raw total energies: -11.6 eV/f.u.
Total energy: -4.148 eV/atom
ρ: 5598 kg/m³

Lattice parameters (Å, degrees): 10.083 10.083 9.090 102.20 102.20 24.92
Fractional positions:
Nd: 0.000 0.000 0.220
Nd: 0.000 0.000 0.780
Nd: 0.351 0.351 0.925
Nd: 0.649 0.649 0.075
Ga: 0.500 0.500 0.000
I: 0.167 0.167 0.337
I: 0.172 0.172 0.826
I: 0.500 0.500 0.500
I: 0.828 0.828 0.174
I: 0.833 0.833 0.663

***

The highest total energy belongs to which entry? number 3